Entry 1:
ZnSiIr2Os | PBE | optimized geometry

The structure in POSCAR format:
```
ZnSiIr2Os
1.0
4.460 0.000 0.000
0.000 4.460 0.000
0.000 0.000 4.250
Zn Si Ir Os
1 1 2 1
Direct
0.000 0.000 0.000
0.000 0.000 0.500
0.000 0.500 0.000
0.500 0.000 0.000
0.500 0.500 0.500
```

Summary:
Its magnetization is 0.00 μB/cell. For the final energy, the calculation gives -26.94 eV/cell. Its mass density is 13.1 Mg/m³.


Entry 2:
La2BeRhN | PBE | optimized geometry

The structure in POSCAR format:
```
La2BeRhN
1.0
5.237 0.000 0.000
0.000 5.237 0.000
0.000 0.000 3.379
La Be Rh N
2 1 1 1
Direct
0.000 0.500 0.000
0.500 0.000 0.000
0.000 0.000 0.500
0.500 0.500 0.500
0.000 0.000 0.000
```

Summary:
Its magnetization is 0.00 μB/cell. For the final energy, the calculation gives -32.93 eV/cell. Its mass density is 7.2 Mg/m³.


Entry 3:
CaOs3I | PBE | optimized geometry

The structure in POSCAR format:
```
CaOs3I
1.0
4.970 0.000 0.000
0.000 4.970 0.000
0.000 0.000 4.970
Ca Os I
1 3 1
Direct
0.000 0.000 0.000
0.000 0.000 0.500
0.000 0.500 0.000
0.500 0.000 0.000
0.500 0.500 0.500
```

Summary:
Its magnetization is 6.84 μB/cell. For the final energy, the calculation gives -20.87 eV/cell. Its mass density is 10.0 Mg/m³.